DFT (GGA-PBE) results for an optimized crystal structure of Dy2ScCdAu4.

Cell: 4.927 4.927 8.686 Å, 73.52 73.52 60.00°
Fractional coordinates of all 8 atoms:
1 Dy 0.744 0.744 0.767
2 Dy 0.256 0.256 0.233
3 Sc 0.500 0.500 0.500
4 Cd 0.000 0.000 0.000
5 Au 0.382 0.382 0.855
6 Au 0.864 0.864 0.409
7 Au 0.136 0.136 0.591
8 Au 0.618 0.618 0.145

Summary:
**DFT formation energy**: -776 meV/atom

---

DFT (GGA-PBE) results for an optimized crystal structure of Ba2SnBi.

Cell: 9.526 9.526 7.682 Å, 51.68 51.68 90.00°
Fractional coordinates of all 8 atoms:
1 Bi 0.000 0.000 0.000
2 Bi 0.750 0.250 0.500
3 Sn 0.500 0.500 0.000
4 Sn 0.250 0.750 0.500
5 Ba 0.629 0.125 0.250
6 Ba 0.121 0.625 0.250
7 Ba 0.375 0.371 0.750
8 Ba 0.875 0.879 0.750

Summary:
**Energy above the lowest structure with this stoichiometry**: 0.293 eV/atom
**DFT formation energy**: -416 meV/atom

---

DFT (GGA-PBE) results for an optimized crystal structure of TiHCl.

Cell: 5.181 6.534 5.820 Å, 90.00 90.00 103.90°
Fractional coordinates of all 12 atoms:
1 H 0.399 0.382 0.140
2 H 0.101 0.618 0.640
3 H 0.601 0.618 0.860
4 H 0.899 0.382 0.360
5 Cl 0.189 0.788 0.088
6 Cl 0.311 0.212 0.588
7 Cl 0.811 0.212 0.912
8 Cl 0.689 0.788 0.412
9 Ti 0.273 0.527 0.379
10 Ti 0.227 0.473 0.879
11 Ti 0.727 0.473 0.621
12 Ti 0.773 0.527 0.121

Summary:
**Uncorrected energy**: -5.22 eV per atom

---

DFT (GGA-PBE) results for an optimized crystal structure of DySi4Rh4.

Cell: 4.717 7.983 7.983 Å, 90.00 90.00 90.00°
Fractional coordinates of all 18 atoms:
1 Dy 0.000 0.000 0.000
2 Dy 0.500 0.500 0.500
3 Si 0.579 0.852 0.304
4 Si 0.579 0.148 0.696
5 Si 0.079 0.804 0.648
6 Si 0.921 0.352 0.804
7 Si 0.921 0.648 0.196
8 Si 0.421 0.304 0.148
9 Si 0.421 0.696 0.852
10 Si 0.079 0.196 0.352
11 Rh 0.417 0.373 0.863
12 Rh 0.917 0.637 0.873
13 Rh 0.417 0.627 0.137
14 Rh 0.083 0.127 0.637
15 Rh 0.583 0.863 0.627
16 Rh 0.083 0.873 0.363
17 Rh 0.917 0.363 0.127
18 Rh 0.583 0.137 0.373

Summary:
**Raw formation energy**: -0.71 eV/atom

---

DFT (GGA-PBE) results for an optimized crystal structure of HfGaNi6.

Cell: 6.338 6.338 10.362 Å, 90.00 90.00 109.97°
Site moments in Bohr magnetons follow the coordinates.
Fractional coordinates of all 32 atoms:
1 Hf 0.744 0.256 0.000  -0.01
2 Hf 0.256 0.744 0.000  -0.01
3 Hf 0.500 0.500 0.747  -0.01
4 Hf 0.500 0.500 0.253  -0.01
5 Ga 0.741 0.259 0.500  -0.01
6 Ga 0.259 0.741 0.500  -0.01
7 Ga 0.000 0.000 0.746  -0.01
8 Ga 0.000 0.000 0.254  -0.01
9 Ni 0.751 0.249 0.744  0.04
10 Ni 0.119 0.366 0.871  0.02
11 Ni 0.881 0.634 0.871  0.02
12 Ni 0.249 0.751 0.744  0.04
13 Ni 0.634 0.881 0.871  0.02
14 Ni 0.366 0.119 0.871  0.02
15 Ni 0.500 0.500 0.500  0.04
16 Ni 0.884 0.631 0.622  0.07
17 Ni 0.631 0.884 0.622  0.07
18 Ni 0.751 0.249 0.256  0.04
19 Ni 0.116 0.369 0.378  0.07
20 Ni 0.884 0.631 0.378  0.07
21 Ni 0.249 0.751 0.256  0.04
22 Ni 0.631 0.884 0.378  0.07
23 Ni 0.369 0.116 0.378  0.07
24 Ni 0.500 0.500 0.000  0.01
25 Ni 0.881 0.634 0.129  0.02
26 Ni 0.634 0.881 0.129  0.02
27 Ni 0.000 0.000 0.500  0.11
28 Ni 0.369 0.116 0.622  0.07
29 Ni 0.116 0.369 0.622  0.07
30 Ni 0.000 0.000 0.000  0.03
31 Ni 0.366 0.119 0.129  0.02
32 Ni 0.119 0.366 0.129  0.02

Summary:
**Energy above the lowest structure with this stoichiometry**: 0.000 eV/atom
**DFT formation energy**: -402 meV/atom

---

DFT (GGA-PBE) results for an optimized crystal structure of InNiMo.

Cell: 4.201 4.201 4.201 Å, 60.00 60.00 60.00°
Site moments in Bohr magnetons follow the coordinates.
Fractional coordinates of all 3 atoms:
1 In 0.000 0.000 0.000  -0.03
2 Mo 0.500 0.500 0.500  0.74
3 Ni 0.750 0.750 0.750  0.21

Summary:
**Energy above the lowest structure with this stoichiometry**: 0.232 eV/atom
**DFT formation energy**: 347 meV/atom